The following is a DFT calculation (PBE) of a geometry-optimized CaCo2Ni2 structure.

Lattice parameters (Å, degrees): 7.228 7.228 2.606 90.00 90.00 90.00
Fractional coordinates of all 10 atoms:
Ca 0.000 0.000 0.000
Ca 0.500 0.500 0.000
Co 0.116 0.384 0.000
Co 0.384 0.884 0.000
Co 0.616 0.116 0.000
Co 0.884 0.616 0.000
Ni 0.175 0.675 0.500
Ni 0.325 0.175 0.500
Ni 0.675 0.825 0.500
Ni 0.825 0.325 0.500

Output
- DFT formation energy (eV per formula unit) = 0.8
- total moment (μB/atom) = 0.83
- V (Å³/atom) = 13.6
- calculated total energy (eV/cell) = -54.03
- space-group type = P4/mbm, No. 127